Entry 1:
Fe6Re2Tc after structural relaxation, computed with GGA-PBE.

Calculated values
For the formation enthalpy at 0 K, the calculation gives 0.32 eV per atom. The uncorrected energy comes out at -0.679 Ry per atom. As for the space group: C2/m (12). Its volume is 12.4 Å³/atom.

The structure in POSCAR format:
```
Fe6Re2Tc
1.0
4.779 0.000 0.005
2.389 4.138 0.000
0.005 -0.003 5.653
Fe Re Tc
6 2 1
Direct
0.824 0.824 0.663
0.353 0.824 0.663
0.824 0.352 0.663
0.176 0.176 0.337
0.647 0.176 0.337
0.176 0.648 0.337
0.667 0.667 0.100
0.333 0.333 0.900
0.000 0.000 0.000
```

=====

Entry 2:
Fe3ReTc after structural relaxation, computed with GGA-PBE.

Calculated values
For the formation enthalpy at 0 K, the calculation gives 1.76 eV per atom. The excess energy over the best structure of this formula in the dataset comes out at 0.000 eV/atom. The uncorrected energy comes out at -0.579 Ry per atom. As for the space group: Pm-3m (221). Its volume is 17.1 Å³/atom.

The structure in POSCAR format:
```
Fe3ReTc
1.0
-4.297 -0.987 -0.048
0.761 -3.171 -2.968
0.630 -2.900 3.261
Re Tc Fe
1 1 3
Direct
0.000 0.000 0.000
0.500 0.500 0.500
0.000 0.500 0.000
0.000 0.000 0.500
0.500 0.000 0.000
```

=====

Entry 3:
FeReTc2 after structural relaxation, computed with GGA-PBE.

Calculated values
For the formation enthalpy at 0 K, the calculation gives 0.10 eV per atom. The uncorrected energy comes out at -0.758 Ry per atom. As for the space group: Pmmm (47). Its volume is 14.0 Å³/atom.

The structure in POSCAR format:
```
FeReTc2
1.0
-3.474 0.691 1.450
0.369 -1.974 1.824
2.505 1.584 5.245
Fe Re Tc
1 1 2
Direct
0.500 0.250 0.250
0.500 0.750 0.750
0.000 0.989 0.011
0.000 0.511 0.489
```